A relaxed Te2Se2Br crystal. Source: the Alexandria database, functional PBEsol.

Cell: 5.248 5.248 6.556 Å, 113.59 113.59 90.00°
Positions (direct):
Br1 0.000 0.000 0.000
Se1 0.663 0.663 0.326
Se2 0.337 0.337 0.674
Te1 0.250 0.750 0.500
Te2 0.750 0.250 0.500

## Properties
Fermi-level density of states = 3.374 states/eV/f.u.
ΔE_f (raw) = 142.0 meV per atom